1.
{
  "formula": "LaMgCd2",
  "functional": "GGA-PBE",
  "state": "relaxed",
  "cell": [[-0.427, 0.596, -5.255], [-4.153, 1.042, 3.134], [2.582, 8.143, 0.713]],
  "species": ["Mg", "Mg", "Cd", "Cd", "Cd", "Cd", "La", "La"],
  "fractional_positions": [[0.667, 0.333, 0.250], [0.333, 0.667, 0.750], [0.333, 0.667, 0.428], [0.667, 0.333, 0.928], [0.333, 0.667, 0.072], [0.667, 0.333, 0.572], [0.000, 0.000, 0.750], [0.000, 0.000, 0.250]],
  "space_group": "No. 194",
  "dft_energy_ev_per_fu": -8.586
}

=====

2.
{
  "formula": "LaMgCd2",
  "functional": "GGA-PBE",
  "state": "relaxed",
  "cell": [[5.997, 0.000, 0.000], [0.000, 7.554, 0.000], [0.000, 0.000, 9.106]],
  "species": ["Mg", "Mg", "Mg", "Mg", "La", "La", "La", "La", "Cd", "Cd", "Cd", "Cd", "Cd", "Cd", "Cd", "Cd"],
  "fractional_positions": [[0.640, 0.750, 0.903], [0.360, 0.250, 0.097], [0.860, 0.750, 0.403], [0.140, 0.250, 0.597], [0.359, 0.750, 0.552], [0.641, 0.250, 0.448], [0.859, 0.250, 0.948], [0.141, 0.750, 0.052], [0.880, 0.551, 0.686], [0.120, 0.051, 0.314], [0.620, 0.551, 0.186], [0.620, 0.949, 0.186], [0.380, 0.051, 0.814], [0.120, 0.449, 0.314], [0.880, 0.949, 0.686], [0.380, 0.449, 0.814]],
  "space_group": "No. 62",
  "dft_energy_ev_per_fu": -9.245
}

=====

3.
{
  "formula": "LaMgCd2",
  "functional": "GGA-PBE",
  "state": "relaxed",
  "cell": [[2.524, -4.372, 0.000], [2.524, 4.372, 0.000], [0.000, 0.000, 9.437]],
  "species": ["Mg", "Mg", "Cd", "Cd", "Cd", "Cd", "La", "La"],
  "fractional_positions": [[0.000, 0.000, 0.500], [0.000, 0.000, 0.000], [0.333, 0.667, 0.909], [0.667, 0.333, 0.091], [0.333, 0.667, 0.591], [0.667, 0.333, 0.409], [0.333, 0.667, 0.250], [0.667, 0.333, 0.750]],
  "space_group": "No. 194",
  "dft_energy_ev_per_fu": -9.524
}

=====

4.
{
  "formula": "LaMgCd2",
  "functional": "GGA-PBE",
  "state": "relaxed",
  "cell": [[-2.241, 1.847, -2.027], [-1.672, -2.996, -0.880], [-4.903, 0.903, 6.243]],
  "species": ["Cd", "Cd", "La", "Mg"],
  "fractional_positions": [[0.500, 0.500, 0.786], [0.500, 0.500, 0.214], [0.000, 0.000, 0.500], [0.000, 0.000, 0.000]],
  "space_group": "No. 123",
  "dft_energy_ev_per_fu": -9.274
}

=====

5.
{
  "formula": "LaMgCd2",
  "functional": "GGA-PBE",
  "state": "relaxed",
  "cell": [[-4.677, 1.298, 2.168], [3.406, -3.081, 2.677], [3.641, 7.137, 3.582]],
  "species": ["Cd", "Cd", "Cd", "Cd", "La", "La", "Mg", "Mg"],
  "fractional_positions": [[0.667, 0.333, 0.096], [0.333, 0.667, 0.904], [0.333, 0.667, 0.596], [0.667, 0.333, 0.404], [0.000, 0.000, 0.500], [0.000, 0.000, 0.000], [0.667, 0.333, 0.750], [0.333, 0.667, 0.250]],
  "space_group": "No. 194",
  "dft_energy_ev_per_fu": -8.973
}

=====

6.
{
  "formula": "LaMgCdNi",
  "functional": "GGA-PBE",
  "state": "relaxed",
  "cell": [[2.109, -5.002, 0.000], [2.109, 5.002, 0.000], [0.000, 0.000, 8.311]],
  "species": ["Cd", "Cd", "Ni", "Ni", "La", "La", "Mg", "Mg"],
  "fractional_positions": [[0.648, 0.352, 0.551], [0.352, 0.648, 0.051], [0.776, 0.224, 0.253], [0.224, 0.776, 0.753], [0.942, 0.058, 0.748], [0.058, 0.942, 0.248], [0.343, 0.657, 0.447], [0.657, 0.343, 0.947]],
  "de_polymorph_mev_per_atom": 0,
  "space_group": "No. 36",
  "dft_energy_ev_per_fu": -14.271
}

=====

7.
{
  "formula": "LaMgCdNi",
  "functional": "GGA-PBE",
  "state": "relaxed",
  "cell": [[8.335, 0.000, 0.000], [0.000, 2.096, 4.992], [0.000, -2.096, 4.992]],
  "species": ["Mg", "Mg", "Ni", "Ni", "La", "La", "Cd", "Cd"],
  "fractional_positions": [[0.802, 0.155, 0.155], [0.198, 0.155, 0.155], [0.000, 0.719, 0.719], [0.500, 0.271, 0.271], [0.500, 0.557, 0.557], [0.000, 0.441, 0.441], [0.701, 0.851, 0.851], [0.299, 0.851, 0.851]],
  "de_polymorph_mev_per_atom": 4,
  "space_group": "No. 38",
  "dft_energy_ev_per_fu": -14.257
}

=====

8.
{
  "formula": "La2MgCd3Ni2",
  "functional": "GGA-PBE",
  "state": "relaxed",
  "cell": [[1.650, 2.153, 4.658], [-2.505, 2.625, 3.986], [-1.439, -7.216, 3.828]],
  "species": ["Cd", "Cd", "Cd", "Ni", "Ni", "La", "La", "Mg"],
  "fractional_positions": [[0.147, 0.147, 0.451], [0.151, 0.151, 0.051], [0.851, 0.851, 0.948], [0.281, 0.281, 0.746], [0.725, 0.725, 0.251], [0.441, 0.441, 0.250], [0.559, 0.559, 0.752], [0.844, 0.844, 0.551]],
  "space_group": "No. 8",
  "dft_energy_ev_per_fu": -28.018
}

=====

9.
{
  "formula": "LaMgCdNi",
  "functional": "GGA-PBE",
  "state": "relaxed",
  "cell": [[-0.622, -4.192, 3.455], [-1.192, -5.305, -0.583], [8.085, -1.736, -0.663]],
  "species": ["Ni", "Ni", "La", "La", "Cd", "Cd", "Mg", "Mg"],
  "fractional_positions": [[0.726, 0.726, 0.255], [0.274, 0.274, 0.745], [0.560, 0.560, 0.753], [0.440, 0.440, 0.247], [0.850, 0.850, 0.946], [0.150, 0.150, 0.054], [0.845, 0.845, 0.555], [0.155, 0.155, 0.445]],
  "de_polymorph_mev_per_atom": 18,
  "space_group": "No. 12",
  "dft_energy_ev_per_fu": -14.200
}

=====

10.
{
  "formula": "La2MgCd3Pd2",
  "functional": "GGA-PBE",
  "state": "relaxed",
  "cell": [[5.113, -2.159, 0.000], [5.113, 2.159, 0.000], [-0.006, 0.000, 8.517]],
  "species": ["Cd", "Cd", "Cd", "Mg", "La", "La", "Pd", "Pd"],
  "fractional_positions": [[0.643, 0.643, 0.949], [0.360, 0.360, 0.453], [0.352, 0.352, 0.049], [0.655, 0.655, 0.550], [0.936, 0.936, 0.753], [0.062, 0.062, 0.249], [0.774, 0.774, 0.253], [0.218, 0.218, 0.743]],
  "space_group": "No. 8",
  "dft_energy_ev_per_fu": -29.260
}

=====

11.
{
  "formula": "LaPr2Mg3Tl2Cd",
  "functional": "GGA-PBE",
  "state": "relaxed",
  "cell": [[-4.706, -0.719, 0.600], [0.917, 0.438, 7.718], [-1.508, 6.425, -4.129]],
  "species": ["La", "Mg", "Mg", "Mg", "Tl", "Tl", "Pr", "Pr", "Cd"],
  "fractional_positions": [[0.000, 0.578, 0.578], [0.500, 0.762, 0.001], [0.500, 0.237, 0.237], [0.500, 0.001, 0.762], [0.500, 0.668, 0.332], [0.500, 0.332, 0.668], [0.000, 0.421, 0.000], [0.000, 0.000, 0.421], [0.000, 0.002, 0.002]],
  "space_group": "No. 38",
  "dft_energy_ev_per_fu": -27.942
}

=====

12.
{
  "formula": "La2MgCd3Pt2",
  "functional": "GGA-PBE",
  "state": "relaxed",
  "cell": [[5.103, -2.146, 0.000], [5.103, 2.146, 0.000], [-0.010, 0.000, 8.570]],
  "species": ["La", "La", "Cd", "Cd", "Cd", "Mg", "Pt", "Pt"],
  "fractional_positions": [[0.064, 0.064, 0.250], [0.934, 0.934, 0.753], [0.352, 0.352, 0.048], [0.642, 0.642, 0.950], [0.361, 0.361, 0.452], [0.656, 0.656, 0.550], [0.220, 0.220, 0.741], [0.771, 0.771, 0.254]],
  "space_group": "No. 8",
  "dft_energy_ev_per_fu": -31.942
}